An optimized crystal structure of Ba2ZnPdPb. Source: the Alexandria database, functional PBE.

The structure in CIF format:
```
data_Ba2ZnPdPb
_space_group_name_H-M_alt 'P 4/m m m'
_space_group_IT_number 123
_space_group_name_Hall '-P 4 2'
_cell_length_a 6.1498
_cell_length_b 6.1498
_cell_length_c 4.8617
_cell_angle_alpha 90.00
_cell_angle_beta 90.00
_cell_angle_gamma 90.00
loop_
_atom_site_label
_atom_site_type_symbol
_atom_site_fract_x
_atom_site_fract_y
_atom_site_fract_z
Ba1 Ba 0.0000 0.5000 0.0000
Zn1 Zn 0.0000 0.0000 0.5000
Pd1 Pd 0.0000 0.0000 0.0000
Pb1 Pb 0.5000 0.5000 0.5000
```

Calculated values
- raw total energy (eV per atom) = -3.148
- ΔE_f (meV per atom) = -344

An optimized crystal structure of Al2Cu2Si. Source: the Alexandria database, functional PBE.

The structure in CIF format:
```
data_Al2Cu2Si
_space_group_name_H-M_alt 'I 4/m m m'
_space_group_IT_number 139
_space_group_name_Hall '-I 4 2'
_cell_length_a 3.7071
_cell_length_b 3.7071
_cell_length_c 11.2825
_cell_angle_alpha 90.00
_cell_angle_beta 90.00
_cell_angle_gamma 90.00
loop_
_atom_site_label
_atom_site_type_symbol
_atom_site_fract_x
_atom_site_fract_y
_atom_site_fract_z
Al1 Al 0.0000 0.5000 0.2500
Cu1 Cu 0.0000 0.0000 0.1038
Si1 Si 0.0000 0.0000 0.5000
```

Calculated values
- raw total energy (eV per atom) = -4.006
- formation energy (no corrections) (eV/atom) = 0.214

An optimized crystal structure of NdAl2ZnAg4. Source: the Alexandria database, functional PBE.

The structure in CIF format:
```
data_NdAl2ZnAg4
_space_group_name_H-M_alt 'R -3 m'
_space_group_IT_number 166
_space_group_name_Hall '-R 3 2"'
_cell_length_a 4.4934
_cell_length_b 4.4934
_cell_length_c 26.7321
_cell_angle_alpha 90.00
_cell_angle_beta 90.00
_cell_angle_gamma 120.00
loop_
_atom_site_label
_atom_site_type_symbol
_atom_site_fract_x
_atom_site_fract_y
_atom_site_fract_z
Nd1 Nd 0.0000 0.0000 0.0000
Al1 Al 0.0000 0.0000 0.2463
Zn1 Zn 0.0000 0.0000 0.5000
Ag1 Ag 0.0000 0.0000 0.1342
Ag2 Ag 0.0000 0.0000 0.4016
```

Calculated values
- raw total energy (eV per atom) = -3.285
- ΔE_f (meV per atom) = -168

An optimized crystal structure of CdAuCl2. Source: the Alexandria database, functional PBE.

The structure in CIF format:
```
data_CdAuCl2
_space_group_name_H-M_alt 'P 1 m 1'
_space_group_IT_number 6
_cell_length_a 5.5487
_cell_length_b 3.5134
_cell_length_c 5.7750
_cell_angle_alpha 90.00
_cell_angle_beta 109.45
_cell_angle_gamma 90.00
loop_
_space_group_symop_operation_xyz
'x,y,z'
'x,-y,z'
loop_
_atom_site_label
_atom_site_type_symbol
_atom_site_fract_x
_atom_site_fract_y
_atom_site_fract_z
Cd1 Cd 0.0000 0.0000 0.0000
Au1 Au 0.7270 0.5000 0.1855
Cl1 Cl 0.1243 0.5000 0.7375
Cl2 Cl 0.4782 0.0000 0.3451
```

Calculated values
- raw total energy (eV per atom) = -2.397
- formation energy (no corrections) (eV/atom) = -0.426

An optimized crystal structure of Er12In3Sn. Source: the Alexandria database, functional PBE.

The structure in CIF format:
```
data_Er12In3Sn
_space_group_name_H-M_alt 'P 4/m m m'
_space_group_IT_number 123
_space_group_name_Hall '-P 4 2'
_cell_length_a 4.7903
_cell_length_b 4.7903
_cell_length_c 19.1841
_cell_angle_alpha 90.00
_cell_angle_beta 90.00
_cell_angle_gamma 90.00
loop_
_atom_site_label
_atom_site_type_symbol
_atom_site_fract_x
_atom_site_fract_y
_atom_site_fract_z
Er1 Er 0.0000 0.0000 0.0000
Er2 Er 0.0000 0.0000 0.2486
Er3 Er 0.0000 0.0000 0.5000
Er4 Er 0.0000 0.5000 0.1234
Er5 Er 0.0000 0.5000 0.3743
In1 In 0.5000 0.5000 0.2500
In2 In 0.5000 0.5000 0.5000
Sn1 Sn 0.5000 0.5000 0.0000
```

Calculated values
- raw total energy (eV per atom) = -4.484
- ΔE_f (meV per atom) = -299

An optimized crystal structure of UCrS3. Source: the Alexandria database, functional PBE.

The structure in CIF format:
```
data_UCrS3
_space_group_name_H-M_alt 'P n m a'
_space_group_IT_number 62
_cell_length_a 7.6229
_cell_length_b 3.6933
_cell_length_c 12.8102
_cell_angle_alpha 90.00
_cell_angle_beta 90.00
_cell_angle_gamma 90.00
loop_
_space_group_symop_operation_xyz
'x,y,z'
'-x,-y,-z'
'-x+1/2,-y,z+1/2'
'x+1/2,y,-z+1/2'
'x+1/2,-y+1/2,-z+1/2'
'-x+1/2,y+1/2,z+1/2'
'-x,y+1/2,-z'
'x,-y+1/2,z'
loop_
_atom_site_label
_atom_site_type_symbol
_atom_site_fract_x
_atom_site_fract_y
_atom_site_fract_z
U1 U 0.1010 0.2500 0.1754
Cr1 Cr 0.1627 0.7500 0.4482
S1 S 0.0158 0.7500 0.6124
S2 S 0.1543 0.7500 0.0089
S3 S 0.1820 0.2500 0.7876
```

Calculated values
- raw total energy (eV per atom) = -7.712
- formation energy (no corrections) (eV/atom) = -1.053

An optimized crystal structure of CaDyCu4. Source: the Alexandria database, functional PBE.

The structure in CIF format:
```
data_CaDyCu4
_space_group_name_H-M_alt 'F -4 3 m'
_space_group_IT_number 216
_space_group_name_Hall 'F -4 2 3'
_cell_length_a 7.4631
_cell_length_b 7.4631
_cell_length_c 7.4631
_cell_angle_alpha 90.00
_cell_angle_beta 90.00
_cell_angle_gamma 90.00
loop_
_atom_site_label
_atom_site_type_symbol
_atom_site_fract_x
_atom_site_fract_y
_atom_site_fract_z
Ca1 Ca 0.0000 0.0000 0.0000
Dy1 Dy 0.2500 0.2500 0.7500
Cu1 Cu 0.1255 0.1255 0.3745
```

Calculated values
- raw total energy (eV per atom) = -3.944
- ΔE_f (meV per atom) = -113

An optimized crystal structure of Hf2CoNiH. Source: the Alexandria database, functional PBE.

The structure in CIF format:
```
data_Hf2CoNiH
_space_group_name_H-M_alt 'P 4/m m m'
_space_group_IT_number 123
_space_group_name_Hall '-P 4 2'
_cell_length_a 4.4692
_cell_length_b 4.4692
_cell_length_c 3.2900
_cell_angle_alpha 90.00
_cell_angle_beta 90.00
_cell_angle_gamma 90.00
loop_
_atom_site_label
_atom_site_type_symbol
_atom_site_fract_x
_atom_site_fract_y
_atom_site_fract_z
Hf1 Hf 0.0000 0.5000 0.0000
Co1 Co 0.0000 0.0000 0.5000
Ni1 Ni 0.5000 0.5000 0.5000
H1 H 0.5000 0.5000 0.0000
```

Calculated values
- raw total energy (eV per atom) = -7.582